[1]
Re2AsIr: optimized geometry, PBE-GGA.

The space group is Imm2 (No. 44) and the conventional cell measures 2.9564, 4.4525 and 8.9624 Å, with angles of 90.00, 90.00 and 90.00 degrees. The inequivalent atoms are Re at (0.0000, 0.0000, 0.0000), Re at (0.0000, 0.5000, 0.2321), As at (0.0000, 0.5000, 0.7271) and Ir at (0.0000, 0.0000, 0.4504).

Its calculated formation energy is 210 meV per atom.

---

[2]
ReAs2Ir: optimized geometry, PBE-GGA.

The space group is C2/m (No. 12) and the conventional cell measures 8.1471, 2.9849 and 5.1560 Å, with angles of 90.00, 101.29 and 90.00 degrees. The inequivalent atoms are Re at (0.0000, 0.0000, 0.0000), As at (0.2435, 0.5000, 0.2384) and Ir at (0.0000, 0.5000, 0.5000).

Its calculated formation energy is 233 meV per atom. The calculation puts the energy above the most stable polymorph in this dataset at 0.61 eV per formula unit.

---

[3]
ReAs2Ir: optimized geometry, PBE-GGA.

The space group is Pmmm (No. 47) and the conventional cell measures 2.9407, 4.2217 and 5.1664 Å, with angles of 90.00, 90.00 and 90.00 degrees. The inequivalent atoms are Re at (0.0000, 0.0000, 0.0000), As at (0.0000, 0.5000, 0.5000), As at (0.5000, 0.5000, 0.0000) and Ir at (0.5000, 0.0000, 0.5000).

Its calculated formation energy is 565 meV per atom. The calculation puts the energy above the most stable polymorph in this dataset at 1.94 eV per formula unit.

---

[4]
ReAs2Ir: optimized geometry, PBE-GGA.

The space group is R-3m (No. 166, hexagonal axes) and the conventional cell measures 2.9989, 2.9989 and 23.7743 Å, with angles of 90.00, 90.00 and 120.00 degrees. The inequivalent atoms are Re at (0.0000, 0.0000, 0.0000), As at (0.0000, 0.0000, 0.2522) and Ir at (0.0000, 0.0000, 0.5000).

Its calculated formation energy is 203 meV per atom. The calculation puts the energy above the most stable polymorph in this dataset at 0.49 eV per formula unit.

---

[5]
Re2AsIr: optimized geometry, PBE-GGA.

The space group is I-4m2 (No. 119) and the conventional cell measures 3.9325, 3.9325 and 7.7235 Å, with angles of 90.00, 90.00 and 90.00 degrees. The inequivalent atoms are Re at (0.0000, 0.0000, 0.0000), Re at (0.0000, 0.5000, 0.2500), As at (0.0000, 0.5000, 0.7500) and Ir at (0.0000, 0.0000, 0.5000).

Its calculated formation energy is 404 meV per atom.

---

[6]
ReAs2Ir: optimized geometry, PBE-GGA.

The space group is P4/mmm (No. 123) and the conventional cell measures 4.3491, 4.3491 and 3.1845 Å, with angles of 90.00, 90.00 and 90.00 degrees. The inequivalent atoms are Re at (0.0000, 0.0000, 0.0000), As at (0.0000, 0.5000, 0.5000) and Ir at (0.5000, 0.5000, 0.0000).

Its calculated formation energy is 278 meV per atom. The calculation puts the energy above the most stable polymorph in this dataset at 0.79 eV per formula unit.

---

What is the formula in the second record?
ReAs2Ir

---

Which of these has the highest calculated formation energy?
number 3

---

Which of these has the lowest calculated formation energy?
number 4